1.
This record from Alexandria via LeMat-Bulk describes a relaxed Zn2Ag5Au4 crystal. The functional is PBE-GGA.

Output
Electronic total energy = -2.68 eV per atom
Energy relative to the lowest polymorph listed for this composition = 118.3 meV per atom
Space group = Immm (71)
Formation energy = 42 meV per atom

Lattice parameters (Å, degrees): 4.6293 7.9763 7.0961 124.20 109.04 90.00
With the nearest neighbours (Å) after each atom.
Sites, in units of the cell vectors:
Zn1 0.1284 0.1284 0.2567  3 Au 2.63-2.77, 6 Ag 2.70-2.90, 1 Zn 2.77
Zn2 0.8716 0.8716 0.7433  3 Au 2.63-2.77, 6 Ag 2.70-2.90, 1 Zn 2.77
Ag1 0.2670 0.5997 0.5341  4 Ag 2.67-2.85, 2 Au 2.89, 2 Zn 2.90
Ag2 0.7330 0.4003 0.4659  4 Ag 2.67-2.85, 2 Au 2.89, 2 Zn 2.90
Ag3 0.2670 0.9344 0.5341  4 Ag 2.67-2.85, 2 Au 2.89, 2 Zn 2.90
Ag4 0.5000 0.0000 0.0000  4 Zn 2.70, 4 Ag 2.85
Ag5 0.7330 0.0656 0.4659  4 Ag 2.67-2.85, 2 Au 2.89, 2 Zn 2.90
Au1 0.6276 0.6276 0.2551  1 Zn 2.63, 1 Au 2.75, 2 Ag 2.89
Au2 0.0000 0.3004 0.0000  2 Zn 2.77, 2 Ag 2.89
Au3 0.3724 0.3724 0.7449  1 Zn 2.63, 1 Au 2.75, 2 Ag 2.89
Au4 0.0000 0.6996 0.0000  2 Zn 2.77, 2 Ag 2.89



2.
This record from Alexandria via LeMat-Bulk describes a relaxed Zn5Ag2Au3 crystal. The functional is PBE-GGA.

Output
Electronic total energy = -2.31 eV per atom
Energy relative to the lowest polymorph listed for this composition = 0.0 meV per atom
Space group = Cmc2_1 (36)
Formation energy = -115 meV per atom

Lattice parameters (Å, degrees): 4.4255 5.5332 14.2049 90.00 98.96 90.00
With the nearest neighbours (Å) after each atom.
Sites, in units of the cell vectors:
Zn1 0.4005 0.4976 0.8010  4 Au 2.64-2.80, 3 Zn 2.81-2.84, 2 Ag 2.88
Zn2 0.3000 0.4306 0.6000  3 Au 2.61-2.66, 3 Zn 2.74-2.84, 2 Ag 2.82
Zn3 0.7000 0.9306 0.4000  3 Au 2.61-2.66, 3 Zn 2.74-2.84, 2 Ag 2.82
Zn4 0.1316 0.2656 0.2632  4 Au 2.60-2.72, 3 Zn 2.78-2.81, 2 Ag 2.80
Zn5 0.3041 0.9364 0.6083  4 Au 2.64-2.75, 2 Zn 2.74-2.80
Zn6 0.9541 0.0187 0.9082  5 Au 2.65-2.81, 1 Zn 2.78, 4 Ag 2.90-2.92
Zn7 0.6959 0.4364 0.3917  4 Au 2.64-2.75, 2 Zn 2.74-2.80
Zn8 0.8684 0.7656 0.7368  4 Au 2.60-2.72, 3 Zn 2.78-2.81, 2 Ag 2.80
Zn9 0.0459 0.5187 0.0918  5 Au 2.65-2.81, 1 Zn 2.78, 4 Ag 2.90-2.92
Zn10 0.5995 0.9976 0.1990  4 Au 2.64-2.80, 3 Zn 2.81-2.84, 2 Ag 2.88
Ag1 0.4998 0.7624 0.9995  2 Ag 2.77, 5 Zn 2.90-3.09, 4 Au 2.94
Ag2 0.1470 0.7664 0.2939  6 Zn 2.80-2.88, 4 Au 2.95-3.09
Ag3 0.8530 0.2664 0.7061  6 Zn 2.80-2.88, 4 Au 2.95-3.09
Ag4 0.5002 0.2624 0.0005  2 Ag 2.77, 5 Zn 2.90-3.09, 4 Au 2.94
Au1 0.7777 0.6728 0.5554  7 Zn 2.60-2.75
Au2 0.6009 0.5027 0.2018  7 Zn 2.69-2.80, 2 Ag 2.95
Au3 0.0486 0.0115 0.0972  6 Zn 2.64-2.81, 4 Ag 2.94
Au4 0.2223 0.1728 0.4446  7 Zn 2.60-2.75
Au5 0.9514 0.5115 0.9028  6 Zn 2.64-2.81, 4 Ag 2.94
Au6 0.3991 0.0027 0.7982  7 Zn 2.69-2.80, 2 Ag 2.95



3.
This record from Alexandria via LeMat-Bulk describes a relaxed Zn5AgAu8 crystal. The functional is PBE-GGA.

Output
Electronic total energy = -2.64 eV per atom
Space group = I-4 (82)
Formation energy = -105 meV per atom

Lattice parameters (Å, degrees): 6.8629 6.8629 6.8629 110.00 108.41 110.00
With the nearest neighbours (Å) after each atom.
Sites, in units of the cell vectors:
Zn1 0.0309 0.3542 0.1277  8 Au 2.67-2.86
Zn2 0.8723 0.9033 0.2265  8 Au 2.67-2.86
Zn3 0.7735 0.6458 0.6767  8 Au 2.67-2.86
Zn4 0.5000 0.0000 0.5000  8 Au 2.64-2.71
Zn5 0.3233 0.0967 0.9691  8 Au 2.67-2.86
Ag1 0.2500 0.5000 0.7500  8 Au 2.81-2.93
Au1 0.1267 0.7415 0.0687  5 Zn 2.64-2.78, 1 Ag 2.81, 2 Au 2.90-2.95
Au2 0.9313 0.0580 0.6727  5 Zn 2.64-2.78, 1 Ag 2.81, 2 Au 2.90-2.95
Au3 0.7632 0.2600 0.3635  5 Zn 2.71-2.86, 2 Au 2.90, 1 Ag 2.93
Au4 0.6365 0.3997 0.8965  5 Zn 2.71-2.86, 2 Au 2.90, 1 Ag 2.93
Au5 0.4967 0.6003 0.2368  5 Zn 2.71-2.86, 2 Au 2.90, 1 Ag 2.93
Au6 0.6148 0.9420 0.8733  5 Zn 2.64-2.78, 1 Ag 2.81, 2 Au 2.90-2.95
Au7 0.3273 0.2585 0.3852  5 Zn 2.64-2.78, 1 Ag 2.81, 2 Au 2.90-2.95
Au8 0.1035 0.7400 0.5033  5 Zn 2.71-2.86, 2 Au 2.90, 1 Ag 2.93



4.
This record from Alexandria via LeMat-Bulk describes a relaxed Zn4Ag2Au crystal. The functional is PBE-GGA.

Output
Electronic total energy = -1.99 eV per atom
Energy relative to the lowest polymorph listed for this composition = 86.2 meV per atom
Space group = Fmmm (69)
Formation energy = 24 meV per atom

Lattice parameters (Å, degrees): 6.5613 6.5613 5.3997 127.57 127.56 89.80
With the nearest neighbours (Å) after each atom.
Sites, in units of the cell vectors:
Zn1 0.7029 0.2973 0.0001  4 Zn 2.65-2.89, 4 Ag 2.73-2.74, 1 Au 2.75
Zn2 0.2973 0.7028 0.0001  4 Zn 2.65-2.89, 4 Ag 2.74, 1 Au 2.75
Zn3 0.2993 0.2993 0.0001  4 Zn 2.65-2.90, 4 Ag 2.73, 1 Au 2.78
Zn4 0.7008 0.7008 0.0001  4 Zn 2.65-2.90, 4 Ag 2.73, 1 Au 2.78
Ag1 0.7501 0.2501 0.5001  8 Zn 2.73-2.74, 2 Ag 2.75
Ag2 0.2500 0.7500 0.5001  8 Zn 2.73-2.74, 2 Ag 2.75
Au1 0.9997 0.9997 0.9994  4 Zn 2.75-2.78



5.
This record from Alexandria via LeMat-Bulk describes a relaxed Zn6AgAu12 crystal. The functional is PBE-GGA.

Output
Electronic total energy = -2.68 eV per atom
Energy relative to the lowest polymorph listed for this composition = 74.5 meV per atom
Space group = R-3 (148)
Formation energy = -58 meV per atom

Lattice parameters (Å, degrees): 7.3126 7.3126 7.3126 103.93 103.93 103.93
With the nearest neighbours (Å) after each atom.
Sites, in units of the cell vectors:
Zn1 0.7591 0.8261 0.5684  5 Au 2.61-2.85, 2 Zn 2.67
Zn2 0.4316 0.2409 0.1739  5 Au 2.61-2.85, 2 Zn 2.67
Zn3 0.1739 0.4316 0.2409  5 Au 2.61-2.85, 2 Zn 2.67
Zn4 0.2409 0.1739 0.4316  5 Au 2.61-2.85, 2 Zn 2.67
Zn5 0.5684 0.7591 0.8261  5 Au 2.61-2.85, 2 Zn 2.67
Zn6 0.8261 0.5684 0.7591  5 Au 2.61-2.85, 2 Zn 2.67
Ag1 0.0000 0.0000 0.0000  6 Au 2.86, 6 Zn 3.00
Au1 0.8152 0.4676 0.3682  3 Zn 2.71-2.85, 6 Au 2.77-2.97
Au2 0.3682 0.8152 0.4676  3 Zn 2.71-2.85, 6 Au 2.77-2.97
Au3 0.4676 0.3682 0.8152  3 Zn 2.71-2.85, 6 Au 2.77-2.97
Au4 0.1848 0.5324 0.6318  4 Zn 2.71-3.03, 6 Au 2.77-2.97
Au5 0.6318 0.1848 0.5324  4 Zn 2.71-3.03, 6 Au 2.77-2.97
Au6 0.5324 0.6318 0.1848  3 Zn 2.71-2.85, 6 Au 2.77-2.97
Au7 0.9678 0.8278 0.3073  2 Zn 2.61-2.72, 4 Au 2.79-2.91, 1 Ag 2.86
Au8 0.1722 0.6927 0.0322  2 Zn 2.61-2.72, 4 Au 2.79-2.91, 1 Ag 2.86
Au9 0.6927 0.0322 0.1722  2 Zn 2.61-2.72, 4 Au 2.79-2.91, 1 Ag 2.86
Au10 0.0322 0.1722 0.6927  2 Zn 2.61-2.72, 4 Au 2.79-2.91, 1 Ag 2.86
Au11 0.8278 0.3073 0.9678  2 Zn 2.61-2.72, 4 Au 2.79-2.91, 1 Ag 2.86
Au12 0.3073 0.9678 0.8278  2 Zn 2.61-2.72, 4 Au 2.79-2.91, 1 Ag 2.86



6.
This record from Alexandria via LeMat-Bulk describes a relaxed Zn2AgAu5 crystal. The functional is PBE-GGA.

Output
Electronic total energy = -2.82 eV per atom
Energy relative to the lowest polymorph listed for this composition = 26.3 meV per atom
Space group = Immm (71)
Formation energy = -94 meV per atom

Lattice parameters (Å, degrees): 3.0350 7.0474 7.0474 75.08 77.57 77.57
With the nearest neighbours (Å) after each atom.
Sites, in units of the cell vectors:
Zn1 0.7501 0.7499 0.7499  7 Au 2.58-2.84
Zn2 0.2499 0.2501 0.2501  7 Au 2.58-2.84
Ag1 0.0000 0.0000 0.0000  2 Ag 3.03, 8 Au 3.07, 4 Zn 3.09
Au1 0.0000 0.5000 0.5000  2 Zn 2.69, 8 Au 2.92
Au2 0.6324 0.6054 0.1298  3 Zn 2.58-2.84, 1 Au 2.85
Au3 0.3676 0.3946 0.8702  3 Zn 2.58-2.84, 1 Au 2.85
Au4 0.3676 0.8702 0.3946  3 Zn 2.58-2.84, 1 Au 2.85
Au5 0.6324 0.1298 0.6054  3 Zn 2.58-2.84, 1 Au 2.85



7.
This record from Alexandria via LeMat-Bulk describes a relaxed ZnAg5Au crystal. The functional is PBE-GGA.

Output
Electronic total energy = -2.63 eV per atom
Energy relative to the lowest polymorph listed for this composition = 23.9 meV per atom
Space group = C2/c (15)
Formation energy = 58 meV per atom

Lattice parameters (Å, degrees): 5.6483 5.6483 10.0596 82.41 82.41 54.47
With the nearest neighbours (Å) after each atom.
Sites, in units of the cell vectors:
Zn1 0.2121 0.7879 0.2500  4 Ag 2.55-2.85, 2 Au 2.74
Zn2 0.7879 0.2121 0.7500  4 Ag 2.55-2.85, 2 Au 2.74
Ag1 0.7277 0.8004 0.1866  7 Ag 2.76-2.98, 1 Au 2.80, 2 Zn 2.85-2.94
Ag2 0.3781 0.3320 0.5422  5 Ag 2.76-2.98, 2 Au 2.86-3.07, 1 Zn 3.04
Ag3 0.8004 0.7277 0.6866  7 Ag 2.76-2.98, 1 Au 2.80, 2 Zn 2.85-2.94
Ag4 0.7055 0.2945 0.2500  2 Zn 2.55-2.62
Ag5 0.6680 0.6219 0.9578  5 Ag 2.76-2.98, 2 Au 2.86-3.07, 1 Zn 3.04
Ag6 0.3320 0.3781 0.0422  5 Ag 2.76-2.98, 2 Au 2.86-3.07, 1 Zn 3.04
Ag7 0.2945 0.7055 0.7500  2 Zn 2.55-2.62
Ag8 0.1996 0.2723 0.3134  7 Ag 2.76-2.98, 1 Au 2.80, 2 Zn 2.85-2.94
Ag9 0.6219 0.6680 0.4578  5 Ag 2.76-2.98, 2 Au 2.86-3.07, 1 Zn 3.04
Ag10 0.2723 0.1996 0.8134  7 Ag 2.76-2.98, 1 Au 2.80, 2 Zn 2.85-2.94
Au1 0.0000 0.0000 0.0000  2 Zn 2.74, 8 Ag 2.80-3.07
Au2 0.0000 0.0000 0.5000  2 Zn 2.74, 8 Ag 2.80-3.07



8.
This record from Alexandria via LeMat-Bulk describes a relaxed Zn4Ag5Au2 crystal. The functional is PBE-GGA.

Output
Electronic total energy = -2.37 eV per atom
Energy relative to the lowest polymorph listed for this composition = 61.5 meV per atom
Space group = C2/m (12)
Formation energy = -17 meV per atom

Lattice parameters (Å, degrees): 2.8636 6.7380 10.0676 85.96 98.18 90.00
With the nearest neighbours (Å) after each atom.
Sites, in units of the cell vectors:
Zn1 0.6709 0.5249 0.3417  2 Au 2.74, 5 Ag 2.75-2.85, 4 Zn 2.86-3.06
Zn2 0.0391 0.6533 0.0782  3 Ag 2.61-2.80, 2 Au 2.62-2.64, 3 Zn 2.68-2.86
Zn3 0.3291 0.4751 0.6583  2 Au 2.74, 5 Ag 2.75-2.85, 4 Zn 2.86-3.06
Zn4 0.9609 0.3467 0.9218  3 Ag 2.61-2.80, 2 Au 2.62-2.64, 3 Zn 2.68-2.86
Ag1 0.1401 0.8798 0.2802  3 Zn 2.61-2.82, 1 Au 2.82, 4 Ag 2.86-2.90
Ag2 0.8599 0.1202 0.7198  3 Zn 2.61-2.82, 1 Au 2.82, 4 Ag 2.86-2.90
Ag3 0.2341 0.1978 0.4682  3 Zn 2.75-2.85, 1 Au 2.85, 7 Ag 2.86-3.05
Ag4 0.5000 0.0000 0.0000  4 Zn 2.80, 2 Ag 2.86, 4 Au 3.09
Ag5 0.7659 0.8022 0.5318  3 Zn 2.75-2.85, 1 Au 2.85, 7 Ag 2.86-3.05
Au1 0.9078 0.7168 0.8157  4 Zn 2.62-2.74, 2 Ag 2.82-2.85, 2 Au 2.86
Au2 0.0922 0.2832 0.1843  4 Zn 2.62-2.74, 2 Ag 2.82-2.85, 2 Au 2.86



9.
This record from Alexandria via LeMat-Bulk describes a relaxed Zn2AgAu7 crystal. The functional is PBE-GGA.

Output
Electronic total energy = -2.90 eV per atom
Energy relative to the lowest polymorph listed for this composition = 0.0 meV per atom
Space group = I4/mmm (139)
Formation energy = -71 meV per atom

Lattice parameters (Å, degrees): 4.0338 4.0338 11.8528 99.80 99.80 90.00
With the nearest neighbours (Å) after each atom.
Sites, in units of the cell vectors:
Zn1 0.6726 0.6726 0.3452  8 Au 2.68-2.69
Zn2 0.3274 0.3274 0.6548  8 Au 2.68-2.69
Ag1 0.0000 0.0000 0.0000  12 Au 2.85-2.99
Au1 0.0960 0.5960 0.1919  2 Zn 2.68, 6 Au 2.85-2.99, 2 Ag 2.99
Au2 0.4040 0.9040 0.8081  2 Zn 2.68, 6 Au 2.85-2.99, 2 Ag 2.99
Au3 0.5960 0.0960 0.1919  2 Zn 2.68, 6 Au 2.85-2.99, 2 Ag 2.99
Au4 0.5000 0.5000 0.0000  4 Ag 2.85, 8 Au 2.99
Au5 0.7500 0.2500 0.5000  4 Zn 2.69, 4 Au 2.85
Au6 0.9040 0.4040 0.8081  2 Zn 2.68, 6 Au 2.85-2.99, 2 Ag 2.99
Au7 0.2500 0.7500 0.5000  4 Zn 2.69, 4 Au 2.85



10.
This record from Alexandria via LeMat-Bulk describes a relaxed Zn3Ag4Au2 crystal. The functional is PBE-GGA.

Output
Electronic total energy = -2.48 eV per atom
Space group = C2/c (15)
Formation energy = -63 meV per atom

Lattice parameters (Å, degrees): 4.8601 8.1807 8.1808 72.01 83.10 83.10
With the nearest neighbours (Å) after each atom.
Sites, in units of the cell vectors:
Zn1 0.0792 0.9565 0.7016  2 Au 2.69-2.88, 7 Ag 2.77-2.89
Zn2 0.4208 0.2984 0.0435  2 Au 2.69-2.88, 7 Ag 2.77-2.89
Zn3 0.9208 0.0435 0.2984  2 Au 2.69-2.88, 7 Ag 2.77-2.89
Zn4 0.5792 0.7016 0.9565  2 Au 2.69-2.88, 7 Ag 2.77-2.89
Zn5 0.2500 0.3808 0.6192  6 Au 2.69-2.95, 4 Ag 2.88-2.90
Zn6 0.7500 0.6192 0.3808  6 Au 2.69-2.95, 4 Ag 2.88-2.90
Ag1 0.5209 0.0606 0.8197  5 Zn 2.78-3.02, 4 Ag 2.80-2.92, 1 Au 2.83
Ag2 0.9791 0.1803 0.9394  5 Zn 2.78-3.02, 4 Ag 2.80-2.92, 1 Au 2.83
Ag3 0.4791 0.9394 0.1803  5 Zn 2.78-3.02, 4 Ag 2.80-2.92, 1 Au 2.83
Ag4 0.0209 0.8197 0.0606  5 Zn 2.78-3.02, 4 Ag 2.80-2.92, 1 Au 2.83
Ag5 0.6276 0.8426 0.6005  5 Zn 2.77-2.90, 2 Ag 2.82-2.86, 3 Au 2.84-2.85
Ag6 0.8724 0.3995 0.1574  5 Zn 2.77-2.90, 2 Ag 2.82-2.86, 3 Au 2.84-2.85
Ag7 0.3724 0.1574 0.3995  5 Zn 2.77-2.90, 2 Ag 2.82-2.86, 3 Au 2.84-2.85
Ag8 0.1276 0.6005 0.8426  5 Zn 2.77-2.90, 2 Ag 2.82-2.86, 3 Au 2.84-2.85
Au1 0.1748 0.7413 0.4769  5 Zn 2.69-2.95, 4 Ag 2.83-2.85, 1 Au 2.87
Au2 0.3252 0.5231 0.2587  5 Zn 2.69-2.95, 4 Ag 2.83-2.85, 1 Au 2.87
Au3 0.8252 0.2587 0.5231  5 Zn 2.69-2.95, 4 Ag 2.83-2.85, 1 Au 2.87
Au4 0.6748 0.4769 0.7413  5 Zn 2.69-2.95, 4 Ag 2.83-2.85, 1 Au 2.87